Entry 1:
TlIrPt2: relaxed, PBE-GGA.

Calculated values
- spin magnetization (μB/atom) = 0.0017
- excess energy over the best structure of this formula in the dataset (eV per atom) = 0.0802

Cell and atoms, written as POSCAR:
```
TlIrPt2
1.0
-2.073 2.073 3.950
2.073 -2.073 3.950
2.073 2.073 -3.950
Tl Ir Pt
1 1 2
Direct
0.000 0.000 0.000
0.500 0.500 0.000
0.250 0.750 0.500
0.750 0.250 0.500
```

***

Entry 2:
TlIrPt2: relaxed, PBE-GGA.

Calculated values
- spin magnetization (μB/atom) = 0.0000
- excess energy over the best structure of this formula in the dataset (eV per atom) = 0.0113

Cell and atoms, written as POSCAR:
```
TlIrPt2
1.0
2.868 -4.025 0.000
2.868 4.025 0.000
0.000 0.000 2.923
Tl Ir Pt
1 1 2
Direct
0.000 0.000 0.000
0.500 0.500 0.000
0.000 0.500 0.500
0.500 0.000 0.500
```

***

Let's list VASP energy in order: -5.56 -5.62 eV/atom.